[1]
PBE NiSn2Rh4, relaxed; raw total energy = -87.94 eV/cell; ΔE_f = -10.7 kJ/mol of atoms
1.0
5.613 0.000 0.000
0.000 5.613 0.000
0.000 0.000 7.418
Ni Sn Rh
2 4 8
direct
0.000 0.000 0.000
0.500 0.500 0.500
0.000 0.500 0.000
0.000 0.500 0.500
0.500 0.000 0.000
0.500 0.000 0.500
0.250 0.250 0.250
0.250 0.250 0.750
0.250 0.750 0.250
0.250 0.750 0.750
0.750 0.250 0.250
0.750 0.250 0.750
0.750 0.750 0.250
0.750 0.750 0.750



[2]
PBE Ni2SnRh2, relaxed; distance to the lowest polymorph of the same formula = 0.00 eV per formula unit; raw total energy = -60.11 eV/cell; ΔE_f = 4.1 kJ/mol of atoms
1.0
6.468 0.000 0.000
0.000 6.468 0.000
0.000 0.000 3.500
Ni Sn Rh
4 2 4
direct
0.129 0.371 0.000
0.371 0.871 0.000
0.629 0.129 0.000
0.871 0.629 0.000
0.000 0.000 0.000
0.500 0.500 0.000
0.158 0.658 0.500
0.342 0.158 0.500
0.658 0.842 0.500
0.842 0.342 0.500



[3]
PBE Ni2Sn6Rh, relaxed; raw total energy = -44.11 eV/cell; ΔE_f = -12.7 kJ/mol of atoms
1.0
6.342 0.000 0.000
-3.171 5.492 0.000
0.000 0.000 5.884
Ni Sn Rh
2 6 1
direct
0.333 0.667 0.000
0.667 0.333 0.000
0.000 0.359 0.270
0.000 0.641 0.730
0.359 0.000 0.270
0.359 0.359 0.730
0.641 0.000 0.730
0.641 0.641 0.270
0.000 0.000 0.500



no.,V (Å³/atom),D(E_F) (states/eV/atom)
1,16.69,1.2535
2,14.64,1.4906
3,22.77,0.4948